{"formula": "CeCr2RuO8", "functional": "PBE+U", "state": "relaxed", "lattice_angstrom": [[4.699, -0.024, -0.003], [0.019, 4.693, -0.005], [0.004, 0.007, 6.426]], "species": ["Ce", "Cr", "Cr", "Ru", "O", "O", "O", "O", "O", "O", "O", "O"], "fractional_positions": [[0.000, 0.000, 0.500], [0.500, 0.500, 0.757], [0.500, 0.500, 0.243], [0.000, 0.000, 0.000], [0.202, 0.796, 0.215], [0.701, 0.703, 0.000], [0.798, 0.204, 0.215], [0.798, 0.204, 0.785], [0.299, 0.297, 0.000], [0.202, 0.796, 0.785], [0.678, 0.680, 0.500], [0.322, 0.320, 0.500]], "crystal_system": "monoclinic", "sg": "P2/m, No. 10", "magmom_total_mub_per_fu": 4.02, "dft_energy_ev_per_atom": -7.658}